No. 1
# RbIn2F PBE optimized geometry
# symmetry: Fm-3m (225)
# relative energy among the computed polymorphs: 440 meV per atom
# calculated volume: 126.22 Å³ per cell
data_RbIn2F
_space_group_name_H-M_alt 'P 1'
_space_group_IT_number 1
_cell_length_a 5.631
_cell_length_b 5.631
_cell_length_c 5.631
_cell_angle_alpha 60.00
_cell_angle_beta 60.00
_cell_angle_gamma 60.00
loop_
_space_group_symop_operation_xyz
'x,y,z'
loop_
_atom_site_label
_atom_site_fract_x
_atom_site_fract_y
_atom_site_fract_z
_atom_site_occupancy
Rb1 0.000 0.000 0.000 1
In1 0.250 0.250 0.250 1
In2 0.750 0.750 0.750 1
F1 0.500 0.500 0.500 1

No. 2
# BaPd2Au2 PBE optimized geometry
# symmetry: I4/mmm (139)
# energy of formation: -0.405 eV/atom
# relative energy among the computed polymorphs: 0 meV per atom
# calculated volume: 235.70 Å³ per cell
data_BaPd2Au2
_space_group_name_H-M_alt 'P 1'
_space_group_IT_number 1
_cell_length_a 11.741
_cell_length_b 11.741
_cell_length_c 11.741
_cell_angle_alpha 157.56
_cell_angle_beta 157.56
_cell_angle_gamma 31.95
loop_
_space_group_symop_operation_xyz
'x,y,z'
loop_
_atom_site_label
_atom_site_fract_x
_atom_site_fract_y
_atom_site_fract_z
_atom_site_occupancy
Ba1 0.126 0.126 0.000 1
Ba2 0.874 0.874 0.000 1
Pd1 0.250 0.750 0.500 1
Pd2 0.435 0.435 0.000 1
Pd3 0.565 0.565 0.000 1
Pd4 0.750 0.250 0.500 1
Au1 0.000 0.500 0.500 1
Au2 0.318 0.318 0.000 1
Au3 0.500 0.000 0.500 1
Au4 0.682 0.682 0.000 1

No. 3
# CeNb2Ga PBE optimized geometry
# symmetry: R-3m (166)
# energy of formation: 0.208 eV/atom
# calculated volume: 78.43 Å³ per cell
data_CeNb2Ga
_space_group_name_H-M_alt 'P 1'
_space_group_IT_number 1
_cell_length_a 10.543
_cell_length_b 10.543
_cell_length_c 10.543
_cell_angle_alpha 16.09
_cell_angle_beta 16.09
_cell_angle_gamma 16.09
loop_
_space_group_symop_operation_xyz
'x,y,z'
loop_
_atom_site_label
_atom_site_fract_x
_atom_site_fract_y
_atom_site_fract_z
_atom_site_occupancy
Ce1 0.000 0.000 0.000 1
Nb1 0.094 0.094 0.094 1
Nb2 0.906 0.906 0.906 1
Ga1 0.500 0.500 0.500 1

No. 4
# Nd8SiTe3Se4 PBE optimized geometry
# symmetry: R-3m (166)
# raw total energy: -5.76 eV/atom
# calculated volume: 465.27 Å³ per cell
data_Nd8SiTe3Se4
_space_group_name_H-M_alt 'P 1'
_space_group_IT_number 1
_cell_length_a 8.676
_cell_length_b 8.676
_cell_length_c 8.676
_cell_angle_alpha 60.33
_cell_angle_beta 60.33
_cell_angle_gamma 60.33
loop_
_space_group_symop_operation_xyz
'x,y,z'
loop_
_atom_site_label
_atom_site_fract_x
_atom_site_fract_y
_atom_site_fract_z
_atom_site_occupancy
Nd1 0.225 0.759 0.759 1
Nd2 0.240 0.240 0.240 1
Nd3 0.241 0.241 0.775 1
Nd4 0.241 0.775 0.241 1
Nd5 0.759 0.225 0.759 1
Nd6 0.759 0.759 0.225 1
Nd7 0.760 0.760 0.760 1
Nd8 0.775 0.241 0.241 1
Si1 0.000 0.000 0.000 1
Te1 0.000 0.500 0.500 1
Te2 0.500 0.000 0.500 1
Te3 0.500 0.500 0.000 1
Se1 0.000 0.000 0.500 1
Se2 0.000 0.500 0.000 1
Se3 0.500 0.000 0.000 1
Se4 0.500 0.500 0.500 1

No. 5
# PuHf2Sc8 PBE optimized geometry
# symmetry: C2/m (12)
# energy of formation: 0.520 eV/atom
# calculated volume: 294.74 Å³ per cell
data_PuHf2Sc8
_space_group_name_H-M_alt 'P 1'
_space_group_IT_number 1
_cell_length_a 7.622
_cell_length_b 7.622
_cell_length_c 5.176
_cell_angle_alpha 98.06
_cell_angle_beta 98.06
_cell_angle_gamma 87.79
loop_
_space_group_symop_operation_xyz
'x,y,z'
loop_
_atom_site_label
_atom_site_fract_x
_atom_site_fract_y
_atom_site_fract_z
_atom_site_occupancy
Pu1 0.000 0.000 0.000 1
Hf1 0.132 0.132 0.535 1
Hf2 0.868 0.868 0.465 1
Sc1 0.148 0.646 0.213 1
Sc2 0.267 0.267 0.098 1
Sc3 0.354 0.852 0.787 1
Sc4 0.425 0.425 0.708 1
Sc5 0.575 0.575 0.292 1
Sc6 0.646 0.148 0.213 1
Sc7 0.733 0.733 0.902 1
Sc8 0.852 0.354 0.787 1

No. 6
# Y4ZnPb PBE optimized geometry
# symmetry: F-43m (216)
# energy of formation: 0.303 eV/atom
# calculated volume: 180.32 Å³ per cell
data_Y4ZnPb
_space_group_name_H-M_alt 'P 1'
_space_group_IT_number 1
_cell_length_a 6.341
_cell_length_b 6.341
_cell_length_c 6.341
_cell_angle_alpha 60.00
_cell_angle_beta 60.00
_cell_angle_gamma 60.00
loop_
_space_group_symop_operation_xyz
'x,y,z'
loop_
_atom_site_label
_atom_site_fract_x
_atom_site_fract_y
_atom_site_fract_z
_atom_site_occupancy
Y1 0.125 0.125 0.125 1
Y2 0.125 0.125 0.624 1
Y3 0.125 0.624 0.125 1
Y4 0.624 0.125 0.125 1
Zn1 0.750 0.750 0.750 1
Pb1 0.500 0.500 0.500 1

No. 7
# Ce2NdEr3P6 PBE optimized geometry
# symmetry: C2/m (12)
# energy of formation: -1.563 eV/atom
# calculated volume: 279.37 Å³ per cell
data_Ce2NdEr3P6
_space_group_name_H-M_alt 'P 1'
_space_group_IT_number 1
_cell_length_a 7.002
_cell_length_b 7.002
_cell_length_c 6.981
_cell_angle_alpha 99.62
_cell_angle_beta 99.62
_cell_angle_gamma 120.00
loop_
_space_group_symop_operation_xyz
'x,y,z'
loop_
_atom_site_label
_atom_site_fract_x
_atom_site_fract_y
_atom_site_fract_z
_atom_site_occupancy
Ce1 0.167 0.833 0.000 1
Ce2 0.833 0.167 0.000 1
Nd1 0.500 0.500 0.000 1
Er1 0.000 0.000 0.500 1
Er2 0.334 0.666 0.500 1
Er3 0.666 0.334 0.500 1
P1 0.076 0.414 0.743 1
P2 0.248 0.248 0.258 1
P3 0.414 0.076 0.743 1
P4 0.586 0.924 0.257 1
P5 0.752 0.752 0.742 1
P6 0.924 0.586 0.257 1

No. 8
# LiHoTmMo PBE optimized geometry
# symmetry: F-43m (216)
# energy of formation: 0.246 eV/atom
# calculated volume: 87.17 Å³ per cell
data_LiHoTmMo
_space_group_name_H-M_alt 'P 1'
_space_group_IT_number 1
_cell_length_a 4.977
_cell_length_b 4.977
_cell_length_c 4.977
_cell_angle_alpha 60.00
_cell_angle_beta 60.00
_cell_angle_gamma 60.00
loop_
_space_group_symop_operation_xyz
'x,y,z'
loop_
_atom_site_label
_atom_site_fract_x
_atom_site_fract_y
_atom_site_fract_z
_atom_site_occupancy
Li1 0.000 0.000 0.000 1
Ho1 0.750 0.750 0.750 1
Tm1 0.250 0.250 0.250 1
Mo1 0.500 0.500 0.500 1

No. 9
# TbHoErSc2 PBE optimized geometry
# symmetry: Cmcm (63)
# energy of formation: 0.377 eV/atom
# calculated volume: 303.83 Å³ per cell
data_TbHoErSc2
_space_group_name_H-M_alt 'P 1'
_space_group_IT_number 1
_cell_length_a 6.832
_cell_length_b 6.832
_cell_length_c 6.929
_cell_angle_alpha 90.00
_cell_angle_beta 90.00
_cell_angle_gamma 110.07
loop_
_space_group_symop_operation_xyz
'x,y,z'
loop_
_atom_site_label
_atom_site_fract_x
_atom_site_fract_y
_atom_site_fract_z
_atom_site_occupancy
Tb1 0.221 0.779 0.750 1
Tb2 0.779 0.221 0.250 1
Ho1 0.500 0.500 0.250 1
Ho2 0.500 0.500 0.750 1
Er1 0.218 0.782 0.250 1
Er2 0.782 0.218 0.750 1
Sc1 0.184 0.184 0.000 1
Sc2 0.184 0.184 0.500 1
Sc3 0.816 0.816 0.000 1
Sc4 0.816 0.816 0.500 1

No. 10
# CdInAs2 PBE optimized geometry
# symmetry: Immm (71)
# energy of formation: 0.213 eV/atom
# calculated volume: 90.22 Å³ per cell
data_CdInAs2
_space_group_name_H-M_alt 'P 1'
_space_group_IT_number 1
_cell_length_a 5.256
_cell_length_b 5.256
_cell_length_c 5.256
_cell_angle_alpha 132.58
_cell_angle_beta 119.14
_cell_angle_gamma 80.59
loop_
_space_group_symop_operation_xyz
'x,y,z'
loop_
_atom_site_label
_atom_site_fract_x
_atom_site_fract_y
_atom_site_fract_z
_atom_site_occupancy
Cd1 0.000 0.000 0.000 1
In1 0.500 0.500 0.000 1
As1 0.242 0.742 0.500 1
As2 0.758 0.258 0.500 1

No. 11
# SbIr2Au PBE optimized geometry
# symmetry: P2/m (10)
# raw total energy: -5.93 eV/atom
# calculated volume: 69.75 Å³ per cell
data_SbIr2Au
_space_group_name_H-M_alt 'P 1'
_space_group_IT_number 1
_cell_length_a 3.028
_cell_length_b 4.293
_cell_length_c 5.558
_cell_angle_alpha 90.00
_cell_angle_beta 105.16
_cell_angle_gamma 90.00
loop_
_space_group_symop_operation_xyz
'x,y,z'
loop_
_atom_site_label
_atom_site_fract_x
_atom_site_fract_y
_atom_site_fract_z
_atom_site_occupancy
Sb1 0.000 0.000 0.000 1
Ir1 0.142 0.500 0.757 1
Ir2 0.858 0.500 0.243 1
Au1 0.500 0.000 0.500 1

No. 12
# La2Re PBE optimized geometry
# symmetry: P-62m (189)
# energy of formation: 0.262 eV/atom
# relative energy among the computed polymorphs: 105 meV per atom
# calculated volume: 242.01 Å³ per cell
data_La2Re
_space_group_name_H-M_alt 'P 1'
_space_group_IT_number 1
_cell_length_a 7.784
_cell_length_b 7.784
_cell_length_c 4.612
_cell_angle_alpha 90.00
_cell_angle_beta 90.00
_cell_angle_gamma 120.00
loop_
_space_group_symop_operation_xyz
'x,y,z'
loop_
_atom_site_label
_atom_site_fract_x
_atom_site_fract_y
_atom_site_fract_z
_atom_site_occupancy
La1 0.000 0.272 0.000 1
La2 0.000 0.601 0.500 1
La3 0.272 0.000 0.000 1
La4 0.399 0.399 0.500 1
La5 0.601 0.000 0.500 1
La6 0.728 0.728 0.000 1
Re1 0.000 0.000 0.500 1
Re2 0.333 0.667 0.000 1
Re3 0.667 0.333 0.000 1

Result set for spin magnetization: 0.00, 0.00, 0.00, 0.00, 5.52, 0.00, 0.86, 1.10, 0.00, 0.00, 0.00, 0.00 μB per cell, one per record in the order listed.